# KTlAg2I4 (PBE, optimized geometry)
# E_form (uncorrected): -0.613 eV per atom
data_KTlAg2I4
_cell_length_a 8.534
_cell_length_b 8.594
_cell_length_c 8.963
_cell_angle_alpha 90.00
_cell_angle_beta 90.00
_cell_angle_gamma 90.00
_space_group_name_H-M_alt 'I 2 2 2'
_space_group_IT_number 23
loop_
_space_group_symop_operation_xyz
'x,y,z'
'-x,-y,z'
'x,-y,-z'
'-x,y,-z'
'x+1/2,y+1/2,z+1/2'
'-x+1/2,-y+1/2,z+1/2'
'x+1/2,-y+1/2,-z+1/2'
'-x+1/2,y+1/2,-z+1/2'
loop_
_atom_site_label
_atom_site_type_symbol
_atom_site_fract_x
_atom_site_fract_y
_atom_site_fract_z
K1 K 0.000 0.000 0.000
Tl1 Tl 0.000 0.000 0.500
Ag1 Ag 0.000 0.500 0.169
I1 I 0.221 0.282 0.202

***

# Ag2Sn2Te3 (PBE, optimized geometry)
# E_form (uncorrected): -0.106 eV per atom
# Polymorph energy (0 for the lowest one): 0.0 meV/atom
data_Ag2Sn2Te3
_cell_length_a 6.860
_cell_length_b 8.601
_cell_length_c 8.036
_cell_angle_alpha 90.00
_cell_angle_beta 116.54
_cell_angle_gamma 90.00
_space_group_name_H-M_alt 'P 1 21/c 1'
_space_group_IT_number 14
loop_
_space_group_symop_operation_xyz
'x,y,z'
'-x,-y,-z'
'-x,y+1/2,-z+1/2'
'x,-y+1/2,z+1/2'
loop_
_atom_site_label
_atom_site_type_symbol
_atom_site_fract_x
_atom_site_fract_y
_atom_site_fract_z
Ag1 Ag 0.073 0.137 0.441
Sn1 Sn 0.363 0.678 0.626
Te1 Te 0.190 0.082 0.837
Te2 Te 0.500 0.000 0.500

***

The following is a PBE calculation of a relaxed Ce9HgPb2 crystal, from Alexandria via LeMat-Bulk.

Cell and atoms, written as CIF:
```
data_Ce9HgPb2
_cell_length_a 4.821
_cell_length_b 4.821
_cell_length_c 14.389
_cell_angle_alpha 90.00
_cell_angle_beta 90.00
_cell_angle_gamma 90.00
_space_group_name_H-M_alt 'P 4/m m m'
_space_group_IT_number 123
_space_group_name_Hall '-P 4 2'
loop_
_atom_site_label
_atom_site_type_symbol
_atom_site_fract_x
_atom_site_fract_y
_atom_site_fract_z
Ce1 Ce 0.000 0.000 0.000
Ce2 Ce 0.000 0.000 0.328
Ce3 Ce 0.000 0.500 0.164
Ce4 Ce 0.000 0.500 0.500
Hg1 Hg 0.500 0.500 0.000
Pb1 Pb 0.500 0.500 0.332
```

***

# CsYZn3 (PBE, optimized geometry)
# Polymorph energy (0 for the lowest one): 679.1 meV/atom
data_CsYZn3
_cell_length_a 5.707
_cell_length_b 5.707
_cell_length_c 5.707
_cell_angle_alpha 90.00
_cell_angle_beta 90.00
_cell_angle_gamma 90.00
_space_group_name_H-M_alt 'P m -3 m'
_space_group_IT_number 221
_space_group_name_Hall '-P 4 2 3'
loop_
_atom_site_label
_atom_site_type_symbol
_atom_site_fract_x
_atom_site_fract_y
_atom_site_fract_z
Cs1 Cs 0.000 0.000 0.000
Y1 Y 0.500 0.500 0.500
Zn1 Zn 0.000 0.000 0.500

***

These records have raw total energy values of -2.534 -3.410 -5.303 -1.139 eV per atom, in the order they appear.